Density functional theory data (PBE+U) for a relaxed structure of KTmWO5.

Computed properties:
As for the total energy: -7.1540 eV per atom.

a b c (Å): 7.6815 10.1169 8.0616
angles (deg): 90.00 114.12 90.00
Closest atoms and distances in Å follow each position.
Space group C2/c (No. 15)
Unique sites:
K 0.0000 0.1847 0.2500 [4 per cell]  1 O 2.55
Tm 0.0000 0.5000 0.0000 [4 per cell]  6 O 2.12-2.34
W 0.0000 0.1831 0.7500 [4 per cell]  4 O 1.82
O 0.0000 0.4363 0.2500 [4 per cell]  2 Tm 2.12
O 0.0898 0.2870 0.6178 [8 per cell]  1 W 1.82
O 0.1868 0.0767 0.9032 [8 per cell]  1 W 1.82